A plane-wave DFT calculation with PBE was carried out for a relaxed structure of NdSc3Au4.

The calculation puts the formation energy at -0.78 eV per atom. The calculated total energy comes out at -129.26 eV for the cell shown. The calculated volume comes out at 516 Å³ per cell.

The space group is R-3m (No. 166, hexagonal axes) and the conventional cell measures 4.8218, 4.8218 and 25.6485 Å, with angles of 90.00, 90.00 and 120.00 degrees. The inequivalent atoms are Nd at (0.0000, 0.0000, 0.0000), Sc at (0.0000, 0.0000, 0.2447), Sc at (0.0000, 0.0000, 0.5000), Au at (0.0000, 0.0000, 0.1288) and Au at (0.0000, 0.0000, 0.3911).